CsTi2InCl8: relaxed, GGA-PBE.

## Properties
Energy: -4.331 eV/atom
Uncorrected formation energy: -143.3 kJ/mol of atoms
Space-group type: P-3 (147)
V: 450.8 Å³/cell

abc: 6.9714 6.9714 10.7106
angles: 90.00 90.00 120.00
Element x y z (fractional)
Cs1 0.0000 0.0000 0.0000
Ti1 0.6667 0.3333 0.2286
Ti2 0.3333 0.6667 0.7714
In1 0.0000 0.0000 0.5000
Cl1 0.3333 0.6667 0.9836
Cl2 0.3446 0.3129 0.2929
Cl3 0.6871 0.0317 0.2929
Cl4 0.6667 0.3333 0.0164
Cl5 0.3129 0.9683 0.7071
Cl6 0.6554 0.6871 0.7071
Cl7 0.0317 0.3446 0.7071
Cl8 0.9683 0.6554 0.2929

=====

Cs2TiInCl6: relaxed, GGA-PBE.

## Properties
Energy: -3.972 eV/atom
Uncorrected formation energy: -157.3 kJ/mol of atoms
Offset from the most stable computed form: 0.000 eV/atom
Space-group type: P2_1/c (14)
V: 663.5 Å³/cell

abc: 7.7981 7.7288 11.0082
angles: 90.00 89.96 90.00
Element x y z (fractional)
Cs1 0.0028 0.9782 0.2497
Cs2 0.5028 0.5218 0.7497
Cs3 0.9972 0.0218 0.7503
Cs4 0.4972 0.4782 0.2503
Ti1 0.5000 0.0000 0.5000
Ti2 0.0000 0.5000 0.0000
In1 0.5000 0.0000 0.0000
In2 0.0000 0.5000 0.5000
Cl1 0.2444 0.6968 0.0223
Cl2 0.7444 0.8032 0.5223
Cl3 0.7556 0.3032 0.9777
Cl4 0.2556 0.1968 0.4777
Cl5 0.3062 0.7518 0.4830
Cl6 0.8062 0.7482 0.9830
Cl7 0.6938 0.2482 0.5170
Cl8 0.1938 0.2518 0.0170
Cl9 0.9609 0.4973 0.2208
Cl10 0.4609 0.0027 0.7208
Cl11 0.0391 0.5027 0.7792
Cl12 0.5391 0.9973 0.2792

=====

CsTl2InCl4: relaxed, GGA-PBE.

## Properties
Energy: -3.152 eV/atom
Uncorrected formation energy: -114.6 kJ/mol of atoms
Space-group type: P2/m (10)
V: 291.9 Å³/cell

abc: 4.6932 8.1287 8.1161
angles: 70.51 90.00 90.00
Element x y z (fractional)
Cs1 0.0000 0.5000 0.5000
Tl1 0.0000 0.0000 0.0000
Tl2 0.5000 0.0000 0.5000
In1 0.5000 0.5000 0.0000
Cl1 0.0000 0.7537 0.7581
Cl2 0.0000 0.2463 0.2419
Cl3 0.5000 0.7624 0.2364
Cl4 0.5000 0.2376 0.7636

=====

Cs3Tl2InCl6: relaxed, GGA-PBE.

## Properties
Energy: -3.206 eV/atom
Uncorrected formation energy: -139.6 kJ/mol of atoms
Space-group type: C2/m (12)
V: 466.5 Å³/cell

abc: 8.3164 8.3164 8.2686
angles: 99.64 99.64 120.02
Element x y z (fractional)
Cs1 0.1671 0.8329 0.5000
Cs2 0.8329 0.1671 0.5000
Cs3 0.5000 0.5000 0.5000
Tl1 0.3337 0.6663 0.0000
Tl2 0.6663 0.3337 0.0000
In1 0.0000 0.0000 0.0000
Cl1 0.9237 0.5917 0.7709
Cl2 0.7448 0.7448 0.2301
Cl3 0.0763 0.4083 0.2291
Cl4 0.5917 0.9237 0.7709
Cl5 0.2552 0.2552 0.7699
Cl6 0.4083 0.0763 0.2291

=====

Cs2TlIn2Cl6: relaxed, GGA-PBE.

## Properties
Energy: -3.156 eV/atom
Uncorrected formation energy: -123.6 kJ/mol of atoms
Space-group type: C2/m (12)
V: 442.0 Å³/cell

abc: 8.0363 7.5447 9.6454
angles: 112.40 90.00 122.18
Element x y z (fractional)
Cs1 0.7004 0.4009 0.1716
Cs2 0.2996 0.5991 0.8284
Tl1 0.5000 0.0000 0.5000
In1 0.9470 0.8939 0.8272
In2 0.0530 0.1061 0.1728
Cl1 0.7677 0.5354 0.5587
Cl2 0.1894 0.8700 0.1985
Cl3 0.3194 0.1300 0.8015
Cl4 0.8106 0.1300 0.8015
Cl5 0.6806 0.8700 0.1985
Cl6 0.2323 0.4646 0.4413

=====

Cs3TlIn2Cl6: relaxed, GGA-PBE.

## Properties
Energy: -3.198 eV/atom
Uncorrected formation energy: -135.9 kJ/mol of atoms
Space-group type: C2/m (12)
V: 465.1 Å³/cell

abc: 8.3205 8.3205 8.2395
angles: 99.68 99.68 120.02
Element x y z (fractional)
Cs1 0.1667 0.8333 0.5000
Cs2 0.8333 0.1667 0.5000
Cs3 0.5000 0.5000 0.5000
Tl1 0.0000 0.0000 0.0000
In1 0.3335 0.6665 0.0000
In2 0.6665 0.3335 0.0000
Cl1 0.9239 0.5890 0.7720
Cl2 0.7413 0.7413 0.2286
Cl3 0.0761 0.4110 0.2280
Cl4 0.5890 0.9239 0.7720
Cl5 0.2587 0.2587 0.7714
Cl6 0.4110 0.0761 0.2280

=====

Cs2TlInCl6: relaxed, GGA-PBE.

## Properties
Energy: -3.284 eV/atom
Uncorrected formation energy: -144.2 kJ/mol of atoms
Space-group type: Fm-3m (225)
V: 354.7 Å³/cell

abc: 7.9458 7.9458 7.9458
angles: 60.00 60.00 60.00
Element x y z (fractional)
Cs1 0.2500 0.2500 0.2500
Cs2 0.7500 0.7500 0.7500
Tl1 0.0000 0.0000 0.0000
Cl1 0.2727 0.7273 0.7273
Cl2 0.7273 0.2727 0.7273
Cl3 0.2727 0.7273 0.2727
Cl4 0.2727 0.2727 0.7273
Cl5 0.7273 0.7273 0.2727
Cl6 0.7273 0.2727 0.2727
In1 0.5000 0.5000 0.5000

=====

Cs2TmInCl6: relaxed, GGA-PBE.

## Properties
Energy: -3.935 eV/atom
Uncorrected formation energy: -186.7 kJ/mol of atoms
Space-group type: P2_1/c (14)
V: 724.2 Å³/cell

abc: 7.9009 8.1099 11.3019
angles: 90.00 89.99 90.00
Element x y z (fractional)
Cs1 0.0129 0.9492 0.2497
Cs2 0.5129 0.5508 0.7497
Cs3 0.9871 0.0508 0.7503
Cs4 0.4871 0.4492 0.2503
Tm1 0.5000 0.0000 0.5000
Tm2 0.0000 0.5000 0.0000
In1 0.5000 0.0000 0.0000
In2 0.0000 0.5000 0.5000
Cl1 0.2675 0.6846 0.0351
Cl2 0.7675 0.8154 0.5351
Cl3 0.7325 0.3154 0.9649
Cl4 0.2325 0.1846 0.4649
Cl5 0.3180 0.7343 0.4630
Cl6 0.8180 0.7657 0.9630
Cl7 0.6820 0.2657 0.5370
Cl8 0.1820 0.2343 0.0370
Cl9 0.9303 0.5159 0.2261
Cl10 0.4303 0.9841 0.7261
Cl11 0.0697 0.4841 0.7739
Cl12 0.5697 0.0159 0.2739